Record 1
The following is a DFT calculation (PBEsol) of a geometry-optimized GeBiSeN2 structure.

The raw total energy comes out at -4.573 eV/atom. The density of states at the Fermi level comes out at 3.12 states/eV/cell. The formation energy without anion corrections is 140.1 kJ per mole of atoms. The crystal system is tetragonal.

It has space group P4/mmm (No. 123), with a = 4.246 Å, b = 4.246 Å, c = 5.629 Å, α = 90.00°, β = 90.00° and γ = 90.00°. The asymmetric unit holds Ge at (0.000, 0.000, 0.000), Bi at (0.500, 0.500, 0.500), Se at (0.500, 0.500, 0.000) and N at (0.000, 0.500, 0.500).


Record 2
The following is a DFT calculation (PBEsol) of a geometry-optimized RbNaGeBi2 structure.

The raw total energy comes out at -2.996 eV/atom. As for the energy of formation from the pure elements: 0.191 eV per atom. The density of states at the Fermi level comes out at 3.25 states/eV/cell. The crystal system is tetragonal.

It has space group P4/mmm (No. 123), with a = 5.627 Å, b = 5.627 Å, c = 6.075 Å, α = 90.00°, β = 90.00° and γ = 90.00°. The asymmetric unit holds Rb at (0.000, 0.000, 0.000), Na at (0.500, 0.500, 0.000), Ge at (0.000, 0.000, 0.500) and Bi at (0.000, 0.500, 0.500).


Record 3
The following is a DFT calculation (PBEsol) of a geometry-optimized Ge2BiO6 structure.

The raw total energy comes out at -6.451 eV/atom. The density of states at the Fermi level comes out at 6.55 states/eV/cell. The formation energy without anion corrections is -132.9 kJ per mole of atoms. The crystal system is monoclinic.

It has space group C2/c (No. 15), with a = 10.301 Å, b = 9.526 Å, c = 5.640 Å, α = 90.00°, β = 109.38° and γ = 90.00°. The asymmetric unit holds Ge at (0.199, 0.079, 0.227), Bi at (0.000, 0.375, 0.250), O at (0.117, 0.441, 0.648), O at (0.132, 0.030, 0.465) and O at (0.158, 0.256, 0.165).


Record 4
The following is a DFT calculation (PBEsol) of a geometry-optimized Ge3Bi4O12 structure.

The raw total energy comes out at -6.504 eV/atom. The density of states at the Fermi level comes out at 0.00 states/eV/cell. The formation energy without anion corrections is -145.4 kJ per mole of atoms. The crystal system is cubic.

It has space group I-43d (No. 220), with a = 10.468 Å, b = 10.468 Å, c = 10.468 Å, α = 90.00°, β = 90.00° and γ = 90.00°. The asymmetric unit holds Ge at (0.000, 0.250, 0.375), Bi at (0.084, 0.084, 0.084) and O at (0.041, 0.126, 0.677).


Record 5
The following is a DFT calculation (PBEsol) of a geometry-optimized GeBi2O5 structure.

The raw total energy comes out at -6.407 eV/atom. The density of states at the Fermi level comes out at 0.00 states/eV/cell. The formation energy without anion corrections is -138.6 kJ per mole of atoms. The crystal system is orthorhombic.

It has space group Pnma (No. 62), with a = 11.036 Å, b = 3.933 Å, c = 10.857 Å, α = 90.00°, β = 90.00° and γ = 90.00°. The asymmetric unit holds Ge at (0.210, 0.250, 0.139), Bi at (0.077, 0.250, 0.785), Bi at (0.138, 0.250, 0.446), O at (0.001, 0.250, 0.600), O at (0.060, 0.250, 0.188), O at (0.187, 0.750, 0.767), O at (0.248, 0.250, 0.978) and O at (0.248, 0.750, 0.133).


Record 6
The following is a DFT calculation (PBEsol) of a geometry-optimized Ge3Bi2O9 structure.

The raw total energy comes out at -6.585 eV/atom. The density of states at the Fermi level comes out at 0.00 states/eV/cell. The formation energy without anion corrections is -148.5 kJ per mole of atoms. The crystal system is hexagonal.

It has space group P6_3/m (No. 176), with a = 6.9146 Å, b = 6.9146 Å, c = 9.9805 Å, α = 90.00°, β = 90.00° and γ = 120.00°. The asymmetric unit holds Ge at (0.0735, 0.2948, 0.2500), Bi at (0.3333, 0.6667, 0.5312), O at (0.0657, 0.2721, 0.7500) and O at (0.0710, 0.4287, 0.1027).